Below is MgPd3Au7 after structural relaxation, with properties calculated at the PBE-GGA level.

Calculated values
The magnetization comes out at 0.0 μB/f.u. Its space-group type is No. 12. Its formation energy from the elements is -33 meV/atom. The calculation puts the density of states at the Fermi level at 4.238 states/eV/cell.

Cell and atoms, written as CIF:
```
data_MgPd3Au7
_cell_length_a 6.936
_cell_length_b 6.936
_cell_length_c 4.940
_cell_angle_alpha 110.80
_cell_angle_beta 110.80
_cell_angle_gamma 90.41
_space_group_name_H-M_alt 'P 1'
_space_group_IT_number 1
loop_
_space_group_symop_operation_xyz
'x,y,z'
loop_
_atom_site_label
_atom_site_type_symbol
_atom_site_fract_x
_atom_site_fract_y
_atom_site_fract_z
Mg1 Mg 0.000 0.000 0.000
Pd1 Pd 0.268 0.732 0.500
Pd2 Pd 0.500 0.500 0.000
Pd3 Pd 0.732 0.268 0.500
Au1 Au 0.000 0.000 0.500
Au2 Au 0.089 0.573 0.832
Au3 Au 0.321 0.321 0.320
Au4 Au 0.427 0.911 0.168
Au5 Au 0.573 0.089 0.832
Au6 Au 0.679 0.679 0.680
Au7 Au 0.911 0.427 0.168
```